--- one ---
The following is a PBE calculation of a relaxed structure of SmErGaAu, from the Alexandria database.

Unit cell a=4.5254 b=5.9607 c=5.9607 alpha=37.35 beta=90.00 gamma=90.00
Last column: nearest neighbours and their distance in Å.
Sites, in units of the cell vectors:
Sm1 0.0000 0.0000 0.0000  4 Ga 3.06, 3 Au 3.08-3.20
Er1 0.5000 0.2860 0.2860  4 Au 3.03, 3 Ga 3.12-3.18
Ga1 0.5000 0.5677 0.5677  2 Au 2.89, 4 Sm 3.06, 3 Er 3.12-3.18
Au1 0.0000 0.7274 0.7274  2 Ga 2.89, 4 Er 3.03, 3 Sm 3.08-3.20

Values from the calculation:
V: 24.4 A^3/atom

--- two ---
The following is a PBE calculation of a relaxed structure of SmErGaAu, from the Alexandria database.

Unit cell a=5.1353 b=5.1353 c=5.1353 alpha=60.00 beta=60.00 gamma=60.00
Last column: nearest neighbours and their distance in Å.
Sites, in units of the cell vectors:
Sm1 0.0000 0.0000 0.0000  4 Ga 3.14, 4 Au 3.14
Er1 0.5000 0.5000 0.5000  4 Au 3.14, 4 Ga 3.14
Ga1 0.2500 0.2500 0.2500  4 Er 3.14, 4 Sm 3.14
Au1 0.7500 0.7500 0.7500  4 Er 3.14, 4 Sm 3.14

Values from the calculation:
V: 23.9 A^3/atom

Name the least stable of them. two.

--- one ---
The following is a PBE calculation of a relaxed structure of TbErGaAu, from the Alexandria database.

Unit cell a=4.5314 b=5.8772 c=5.8772 alpha=37.44 beta=90.00 gamma=90.00
Last column: nearest neighbours and their distance in Å.
Sites, in units of the cell vectors:
Tb1 0.0000 0.0000 0.0000  3 Ga 3.03-3.16, 4 Au 3.04
Er1 0.5000 0.2883 0.2883  4 Ga 3.02, 3 Au 3.10
Ga1 0.0000 0.7282 0.7282  2 Au 2.89, 4 Er 3.02, 3 Tb 3.03-3.16
Au1 0.5000 0.5667 0.5667  2 Ga 2.89, 4 Tb 3.04, 3 Er 3.10

Values from the calculation:
V: 23.8 A^3/atom

--- two ---
The following is a PBE calculation of a relaxed structure of TbErGaAu, from the Alexandria database.

Unit cell a=5.0891 b=5.0891 c=5.0891 alpha=60.00 beta=60.00 gamma=60.00
Last column: nearest neighbours and their distance in Å.
Sites, in units of the cell vectors:
Tb1 0.0000 0.0000 0.0000  4 Ga 3.12, 4 Au 3.12
Er1 0.5000 0.5000 0.5000  4 Au 3.12, 4 Ga 3.12
Ga1 0.2500 0.2500 0.2500  4 Tb 3.12, 4 Er 3.12
Au1 0.7500 0.7500 0.7500  4 Tb 3.12, 4 Er 3.12

Values from the calculation:
V: 23.3 A^3/atom

Name the least stable of them. two.

--- one ---
The following is a PBE calculation of a relaxed structure of NdErGeAu, from the Alexandria database.

Unit cell a=4.3594 b=5.9378 c=5.9378 alpha=40.34 beta=90.00 gamma=90.00
Last column: nearest neighbours and their distance in Å.
Sites, in units of the cell vectors:
Nd1 0.0000 0.0000 0.0000  3 Ge 3.01-3.28, 4 Au 3.07
Er1 0.5000 0.2778 0.2778  4 Ge 3.04, 3 Au 3.15-3.18
Ge1 0.0000 0.7302 0.7302  2 Au 2.87, 1 Nd 3.01, 4 Er 3.04
Au1 0.5000 0.5628 0.5628  2 Ge 2.87, 4 Nd 3.07, 3 Er 3.15-3.18

Values from the calculation:
V: 24.9 A^3/atom

--- two ---
The following is a PBE calculation of a relaxed structure of NdErGeAu, from the Alexandria database.

Unit cell a=5.1459 b=5.1459 c=5.1459 alpha=60.00 beta=60.00 gamma=60.00
Last column: nearest neighbours and their distance in Å.
Sites, in units of the cell vectors:
Nd1 0.0000 0.0000 0.0000  4 Au 3.15, 4 Ge 3.15
Er1 0.5000 0.5000 0.5000  4 Au 3.15, 4 Ge 3.15
Ge1 0.2500 0.2500 0.2500  4 Nd 3.15, 4 Er 3.15
Au1 0.7500 0.7500 0.7500  4 Er 3.15, 4 Nd 3.15

Values from the calculation:
V: 24.1 A^3/atom

Name the least stable of them. two.

--- one ---
The following is a PBE calculation of a relaxed structure of PmErGeAu, from the Alexandria database.

Unit cell a=4.3513 b=5.9027 c=5.9027 alpha=40.46 beta=90.00 gamma=90.00
Last column: nearest neighbours and their distance in Å.
Sites, in units of the cell vectors:
Pm1 0.0000 0.0000 0.0000  3 Ge 3.00-3.26, 4 Au 3.06
Er1 0.5000 0.7220 0.7220  4 Ge 3.03, 3 Au 3.13-3.15
Ge1 0.0000 0.2706 0.2706  2 Au 2.87, 1 Pm 3.00, 4 Er 3.03
Au1 0.5000 0.4392 0.4392  2 Ge 2.87, 4 Pm 3.06, 3 Er 3.13-3.15

Values from the calculation:
V: 24.6 A^3/atom

--- two ---
The following is a PBE calculation of a relaxed structure of PmErGeAu, from the Alexandria database.

Unit cell a=5.1262 b=5.1262 c=5.1262 alpha=60.00 beta=60.00 gamma=60.00
Last column: nearest neighbours and their distance in Å.
Sites, in units of the cell vectors:
Pm1 0.0000 0.0000 0.0000  4 Ge 3.14, 4 Au 3.14
Er1 0.5000 0.5000 0.5000  4 Ge 3.14, 4 Au 3.14
Ge1 0.2500 0.2500 0.2500  4 Er 3.14, 4 Pm 3.14
Au1 0.7500 0.7500 0.7500  4 Er 3.14, 4 Pm 3.14

Values from the calculation:
V: 23.8 A^3/atom

Name the least stable of them. two.

--- one ---
The following is a PBE calculation of a relaxed structure of SmErGeAu, from the Alexandria database.

Unit cell a=4.3430 b=5.8790 c=5.8790 alpha=40.54 beta=90.00 gamma=90.00
Last column: nearest neighbours and their distance in Å.
Sites, in units of the cell vectors:
Sm1 0.0000 0.0000 0.0000  3 Ge 2.99-3.24, 4 Au 3.05
Er1 0.5000 0.7218 0.7218  4 Ge 3.03, 3 Au 3.11-3.16
Ge1 0.0000 0.2712 0.2712  2 Au 2.86, 1 Sm 2.99, 4 Er 3.03
Au1 0.5000 0.4403 0.4403  2 Ge 2.86, 4 Sm 3.05, 3 Er 3.11-3.16

Values from the calculation:
V: 24.4 A^3/atom

--- two ---
The following is a PBE calculation of a relaxed structure of SmErGeAu, from the Alexandria database.

Unit cell a=5.1119 b=5.1119 c=5.1119 alpha=60.00 beta=60.00 gamma=60.00
Last column: nearest neighbours and their distance in Å.
Sites, in units of the cell vectors:
Sm1 0.0000 0.0000 0.0000  4 Ge 3.13, 4 Au 3.13
Er1 0.5000 0.5000 0.5000  4 Ge 3.13, 4 Au 3.13
Ge1 0.7500 0.7500 0.7500  4 Er 3.13, 4 Sm 3.13
Au1 0.2500 0.2500 0.2500  4 Er 3.13, 4 Sm 3.13

Values from the calculation:
V: 23.6 A^3/atom

Name the least stable of them. two.

--- one ---
The following is a PBE calculation of a relaxed structure of TbErGeAu, from the Alexandria database.

Unit cell a=5.0674 b=5.0674 c=5.0674 alpha=60.00 beta=60.00 gamma=60.00
Last column: nearest neighbours and their distance in Å.
Sites, in units of the cell vectors:
Tb1 0.0000 0.0000 0.0000  4 Au 3.10, 4 Ge 3.10
Er1 0.5000 0.5000 0.5000  4 Au 3.10, 4 Ge 3.10
Ge1 0.2500 0.2500 0.2500  4 Er 3.10, 4 Tb 3.10
Au1 0.7500 0.7500 0.7500  4 Er 3.10, 4 Tb 3.10

Values from the calculation:
V: 23.0 A^3/atom

--- two ---
The following is a PBE calculation of a relaxed structure of TbErGeAu, from the Alexandria database.

Unit cell a=4.3096 b=5.8164 c=5.8164 alpha=40.67 beta=90.00 gamma=90.00
Last column: nearest neighbours and their distance in Å.
Sites, in units of the cell vectors:
Tb1 0.0000 0.0000 0.0000  3 Ge 2.98-3.20, 4 Au 3.02
Er1 0.5000 0.7216 0.7216  4 Ge 3.01, 3 Au 3.03-3.16
Ge1 0.0000 0.2729 0.2729  2 Au 2.85, 1 Tb 2.98, 4 Er 3.01
Au1 0.5000 0.4440 0.4440  2 Ge 2.85, 4 Tb 3.02, 3 Er 3.03-3.16

Values from the calculation:
V: 23.8 A^3/atom

Name the least stable of them. one.

--- one ---
The following is a PBE calculation of a relaxed structure of YErGeAu, from the Alexandria database.

Unit cell a=5.0623 b=5.0623 c=5.0623 alpha=60.00 beta=60.00 gamma=60.00
Last column: nearest neighbours and their distance in Å.
Sites, in units of the cell vectors:
Y1 0.0000 0.0000 0.0000  4 Ge 3.10, 4 Au 3.10
Er1 0.5000 0.5000 0.5000  4 Ge 3.10, 4 Au 3.10
Ge1 0.7500 0.7500 0.7500  4 Er 3.10, 4 Y 3.10
Au1 0.2500 0.2500 0.2500  4 Er 3.10, 4 Y 3.10

Values from the calculation:
V: 22.9 A^3/atom

--- two ---
The following is a PBE calculation of a relaxed structure of YErGeAu, from the Alexandria database.

Unit cell a=4.3024 b=5.7988 c=5.7988 alpha=40.88 beta=90.00 gamma=90.00
Last column: nearest neighbours and their distance in Å.
Sites, in units of the cell vectors:
Y1 0.0000 0.0000 0.0000  3 Ge 2.98-3.18, 4 Au 3.02
Er1 0.5000 0.2786 0.2786  4 Ge 3.01, 3 Au 3.01-3.16
Ge1 0.0000 0.7260 0.7260  2 Au 2.84, 1 Y 2.98, 4 Er 3.01
Au1 0.5000 0.5557 0.5557  2 Ge 2.84, 3 Er 3.01-3.16, 4 Y 3.02

Values from the calculation:
V: 23.7 A^3/atom

Name the least stable of them. one.